(1)
Below is a relaxed structure of La2CrSe, with properties calculated at the PBE level.

For the uncorrected formation energy, the calculation gives -0.10 eV/atom.

The space group is P4mm (No. 99) and the conventional cell measures 3.3612, 3.3612 and 8.7407 Å, with angles of 90.00, 90.00 and 90.00 degrees. The inequivalent atoms are La at (0.0000, 0.0000, 0.0000), La at (0.5000, 0.5000, 0.3958), Cr at (0.5000, 0.5000, 0.7575) and Se at (0.0000, 0.0000, 0.6424).



(2)
Below is a relaxed structure of Sm4AgRuAu2, with properties calculated at the PBE level.

The energy of formation from the pure elements comes out at -0.53 eV/atom.

The space group is R-3m (No. 166, hexagonal axes) and the conventional cell measures 5.1599, 5.1599 and 25.0100 Å, with angles of 90.00, 90.00 and 120.00 degrees. The inequivalent atoms are Sm at (0.0000, 0.0000, 0.1175), Sm at (0.0000, 0.0000, 0.3684), Ag at (0.0000, 0.0000, 0.5000), Ru at (0.0000, 0.0000, 0.0000) and Au at (0.0000, 0.0000, 0.2431).



(3)
Below is a relaxed structure of Te2IrW, with properties calculated at the PBE level.

For the uncorrected formation energy, the calculation gives 0.59 eV/atom.

The space group is R-3m (No. 166, hexagonal axes) and the conventional cell measures 3.3201, 3.3201 and 24.5271 Å, with angles of 90.00, 90.00 and 120.00 degrees. The inequivalent atoms are Te at (0.0000, 0.0000, 0.2488), Ir at (0.0000, 0.0000, 0.0000) and W at (0.0000, 0.0000, 0.5000).



(4)
Below is a relaxed structure of Dy3Cd3Pt2, with properties calculated at the PBE level.

The energy of formation from the pure elements comes out at -0.81 eV/atom.

The space group is P-62m (No. 189) and the conventional cell measures 7.6352, 7.6352 and 3.6908 Å, with angles of 90.00, 90.00 and 120.00 degrees. The inequivalent atoms are Dy at (0.0000, 0.5773, 0.0000), Cd at (0.0000, 0.2259, 0.5000) and Pt at (0.3333, 0.6667, 0.5000).



(5)
Below is a relaxed structure of MnCrCo, with properties calculated at the PBE level.

The energy of formation from the pure elements comes out at 0.22 eV/atom.

The space group is C2/m (No. 12) and the conventional cell measures 5.0148, 4.9434 and 5.7165 Å, with angles of 90.00, 99.27 and 90.00 degrees. The inequivalent atoms are Mn at (0.1985, 0.0000, 0.1814), Cr at (0.1980, 0.5000, 0.1944) and Co at (0.0000, 0.2487, 0.5000).



(6)
Below is a relaxed structure of BaCdTe2, with properties calculated at the PBE level.

For the uncorrected formation energy, the calculation gives -0.77 eV/atom.

The space group is C2/m (No. 12) and the conventional cell measures 7.3968, 8.2541 and 4.3226 Å, with angles of 90.00, 90.30 and 90.00 degrees. The inequivalent atoms are Ba at (0.0000, 0.0000, 0.0000), Cd at (0.0000, 0.5000, 0.0000) and Te at (0.2500, 0.2500, 0.5000).



(7)
Below is a relaxed structure of Li2Ga2Ag2Sn, with properties calculated at the PBE level.

The energy of formation from the pure elements comes out at -0.15 eV/atom.

The space group is R-3m (No. 166, hexagonal axes) and the conventional cell measures 4.6243, 4.6243 and 20.3259 Å, with angles of 90.00, 90.00 and 120.00 degrees. The inequivalent atoms are Li at (0.0000, 0.0000, 0.2159), Ga at (0.0000, 0.0000, 0.3552), Ag at (0.0000, 0.0000, 0.0755) and Sn at (0.0000, 0.0000, 0.5000).



(8)
Below is a relaxed structure of Ho3Ga2Si2, with properties calculated at the PBE level.

For the uncorrected formation energy, the calculation gives -0.68 eV/atom.

The space group is C2/m (No. 12) and the conventional cell measures 10.5349, 4.2412 and 7.1990 Å, with angles of 90.00, 111.99 and 90.00 degrees. The inequivalent atoms are Ho at (0.0000, 0.0000, 0.0000), Ho at (0.1760, 0.0000, 0.6250), Ga at (0.1892, 0.5000, 0.9273) and Si at (0.0342, 0.5000, 0.3466).